No. 1
Density functional theory data (PBE) for a relaxed structure of ErPaIrPt.

Properties
DOS(E_F) ... 3.51 states/eV/cell
Energy of formation from the pure elements ... -1094 meV per atom
Total energy ... -33.3 eV/cell

abc: 3.7232 4.1779 5.8757
angles: 90.00 108.47 90.00
Closest atoms and distances in Å follow each position.
Element x y z (fractional)
1 Er 0.8565 0.5000 0.7129  1 Ir 2.86, 4 Pt 2.86
2 Pt 0.4104 0.0000 0.8208  4 Er 2.86, 2 Ir 2.97, 3 Pa 3.09-3.10
3 Ir 0.6000 0.5000 0.2000  4 Pa 2.82, 1 Er 2.86, 2 Pt 2.97
4 Pa 0.1331 0.0000 0.2662  4 Ir 2.82, 3 Pt 3.09-3.10

No. 2
Density functional theory data (PBE) for a relaxed structure of ErPaIrPt.

Properties
DOS(E_F) ... 6.03 states/eV/cell
Energy of formation from the pure elements ... -848 meV per atom
Total energy ... -32.4 eV/cell

abc: 4.9091 4.9091 4.9091
angles: 60.00 60.00 60.00
Closest atoms and distances in Å follow each position.
Element x y z (fractional)
1 Er 0.5000 0.5000 0.5000  4 Pt 3.01, 4 Ir 3.01
2 Pa 0.0000 0.0000 0.0000  4 Ir 3.01, 4 Pt 3.01
3 Ir 0.2500 0.2500 0.2500  4 Pa 3.01, 4 Er 3.01
4 Pt 0.7500 0.7500 0.7500  4 Er 3.01, 4 Pa 3.01